(1)
A geometry-optimized TlAsW2 structure. Source: the Alexandria database, functional PBE.

Unit cell a=9.028 b=9.028 c=9.028 alpha=19.39 beta=19.39 gamma=19.39
Element x y z (fractional)
W: 0.990 0.990 0.990
W: 0.510 0.510 0.510
Tl: 0.750 0.750 0.750
As: 0.250 0.250 0.250

## Properties
polymorph energy (0 for the lowest one): 1.31 eV per formula unit
density of states at the Fermi level: 0.8889 states/eV/atom
SG: R-3m
calculated formation energy: 0.7276 eV per atom


(2)
A geometry-optimized TlAsW2 structure. Source: the Alexandria database, functional PBE.

Unit cell a=4.799 b=4.799 c=5.663 alpha=74.72 beta=74.72 gamma=39.03
Element x y z (fractional)
W: 0.513 0.513 0.418
W: 0.987 0.987 0.082
Tl: 0.750 0.750 0.750
As: 0.250 0.250 0.250

## Properties
polymorph energy (0 for the lowest one): 1.44 eV per formula unit
density of states at the Fermi level: 0.7063 states/eV/atom
SG: C2/m
calculated formation energy: 0.7581 eV per atom


(3)
A geometry-optimized TlAsW structure. Source: the Alexandria database, functional PBE.

Unit cell a=5.841 b=5.841 c=5.841 alpha=146.95 beta=146.95 gamma=47.43
Element x y z (fractional)
W: 0.636 0.636 0.000
Tl: 0.330 0.330 0.000
As: 0.034 0.034 0.000

## Properties
polymorph energy (0 for the lowest one): 0.28 eV per formula unit
density of states at the Fermi level: 0.9100 states/eV/atom
SG: I4mm
calculated formation energy: 0.4978 eV per atom


> The lowest calculated formation energy belongs to which entry?

TlAsW